The following is a DFT calculation (GGA+U) of an optimized crystal structure of LiV3OF11.

Structure (POSCAR):
```
LiV3OF11
1.0
-2.476 4.274 -2.360
-4.100 -3.921 -2.553
-3.735 -0.945 6.283
Li V O F
1 3 1 11
direct
0.279 0.518 0.012
0.977 0.002 0.995
0.408 0.874 0.674
0.603 0.132 0.358
0.668 0.988 0.840
0.035 0.288 0.968
0.434 0.612 0.816
0.149 0.967 0.797
0.376 0.165 0.515
0.856 0.244 0.516
0.168 0.773 0.490
0.639 0.848 0.498
0.833 0.047 0.206
0.516 0.389 0.217
0.341 0.004 0.179
0.021 0.715 0.055
```

Summary:
- calculated total energy (eV per cell) = -92.0
- energy above the most stable polymorph in this dataset (meV/atom) = 0